Record 1
Ta2HRuAu | Alexandria | meta-GGA SCAN | single point on PBEsol structure; electronic total energy = -48.356 eV per atom; volume = 65.6 Å³/f.u.
1.0
4.039 0.000 0.000
0.000 4.039 0.000
0.000 0.000 4.022
Ta H Ru Au
2 1 1 1
direct
0.000 0.500 0.000 Ta
0.500 0.000 0.000 Ta
0.000 0.000 0.000 H
0.000 0.000 0.500 Ru
0.500 0.500 0.500 Au

=====

Record 2
HAuS3 | Alexandria | meta-GGA SCAN | single point on PBEsol structure; electronic total energy = -19.036 eV per atom; volume = 67.4 Å³/f.u.
1.0
4.069 0.000 0.000
0.000 4.069 0.000
0.000 0.000 4.069
H Au S
1 1 3
direct
0.000 0.000 0.000 H
0.500 0.500 0.500 Au
0.000 0.000 0.500 S
0.000 0.500 0.000 S
0.500 0.000 0.000 S

=====

Record 3
HAu2Se | Alexandria | meta-GGA SCAN | single point on PBEsol structure; electronic total energy = -39.673 eV per atom; volume = 61.1 Å³/f.u.
1.0
0.000 3.127 3.127
3.127 0.000 3.127
3.127 3.127 0.000
H Au Se
1 2 1
direct
0.000 0.000 0.000 H
0.250 0.250 0.250 Au
0.750 0.750 0.750 Au
0.500 0.500 0.500 Se

=====

Record 4
SiH2Au | Alexandria | meta-GGA SCAN | single point on PBEsol structure; electronic total energy = -20.573 eV per atom; volume = 39.8 Å³/f.u.
1.0
0.000 2.711 2.711
2.711 0.000 2.711
2.711 2.711 0.000
Si H Au
1 2 1
direct
0.000 0.000 0.000 Si
0.250 0.250 0.250 H
0.750 0.750 0.750 H
0.500 0.500 0.500 Au

=====

- volume of number 1 (Ta2HRuAu)?
  65.6 Å³/f.u.

=====

- What is the volume in the third record?
  61.1 Å³/f.u.